First-principles (PBE) data for a relaxed structure of CaY3In, as listed in Alexandria.

```
CaY3In
1.0
5.553 0.000 0.000
0.000 5.553 0.000
0.000 0.000 5.553
Ca Y In
1 3 1
Cartesian
0.000 0.000 0.000
0.000 0.000 2.776
0.000 2.776 0.000
2.776 0.000 0.000
2.776 2.776 2.776
```

Summary:
Calculated formation energy in eV per atom: 0.8682
Symmetry: Pm-3m
ρ in Mg/m³: 4.09
DOS at the Fermi energy in states/eV per cell: 5.35
Crystal system: cubic
ΔE to the lowest computed polymorph in meV/atom: 627